--- i ---
Material: LiGaSbIr
Method: DFT, GGA-PBE
State: optimized geometry

Cell lengths 4.516, 4.516, 4.516 Å; angles 60.00, 60.00, 60.00 degrees
Sites, in units of the cell vectors:
Li 0.000 0.000 0.000
Ga 0.750 0.750 0.750
Sb 0.250 0.250 0.250
Ir 0.500 0.500 0.500



--- ii ---
Material: LiGaSbIr
Method: DFT, GGA-PBE
State: optimized geometry

Cell lengths 4.558, 4.558, 4.558 Å; angles 60.00, 60.00, 60.00 degrees
Sites, in units of the cell vectors:
Li 0.000 0.000 0.000
Ga 0.500 0.500 0.500
Sb 0.250 0.250 0.250
Ir 0.750 0.750 0.750



It is i that is most stable; the runner-up trails by 0.344 eV/atom.